Density functional theory data (GGA-PBEsol) for a relaxed structure of V4O7F5.

```
V4O7F5
1.0
5.320 0.000 0.000
0.000 5.240 0.000
-0.211 0.000 7.030
V O F
4 7 5
Direct
0.038 0.000 0.256
0.452 0.513 0.746
0.548 0.513 0.254
0.962 0.000 0.744
0.000 0.966 0.500
0.209 0.754 0.212
0.210 0.329 0.716
0.500 0.484 0.000
0.500 0.598 0.500
0.790 0.329 0.284
0.791 0.754 0.788
0.000 0.130 0.000
0.283 0.832 0.792
0.297 0.245 0.288
0.703 0.245 0.712
0.717 0.832 0.208
```

Results
Crystal system   monoclinic
Space group   P2 (3)
Uncorrected formation energy   -2.461 eV per atom
Energy above the lowest structure with this stoichiometry   59 meV per atom

=====

Density functional theory data (GGA-PBEsol) for a relaxed structure of Cu3PSe3.

```
Cu3PSe3
1.0
7.875 0.000 0.000
0.000 10.253 0.000
0.000 0.000 6.521
Cu P Se
12 4 12
Direct
0.114 0.047 0.233
0.114 0.453 0.233
0.220 0.250 0.062
0.280 0.750 0.562
0.386 0.547 0.733
0.386 0.953 0.733
0.614 0.047 0.267
0.614 0.453 0.267
0.720 0.250 0.438
0.780 0.750 0.938
0.886 0.547 0.767
0.886 0.953 0.767
0.222 0.250 0.636
0.278 0.750 0.136
0.722 0.250 0.864
0.778 0.750 0.364
0.023 0.250 0.373
0.145 0.068 0.835
0.145 0.432 0.835
0.355 0.568 0.335
0.355 0.932 0.335
0.477 0.750 0.873
0.523 0.250 0.127
0.645 0.068 0.665
0.645 0.432 0.665
0.855 0.568 0.165
0.855 0.932 0.165
0.977 0.750 0.627
```

Results
Crystal system   orthorhombic
Space group   Pnma (62)
Uncorrected formation energy   -0.046 eV per atom

=====

Density functional theory data (GGA-PBEsol) for a relaxed structure of Nb4VS8.

```
Nb4VS8
1.0
6.596 0.000 0.000
-3.298 5.713 0.000
0.000 0.000 11.993
Nb V S
8 2 16
Direct
0.000 0.000 0.250
0.000 0.000 0.750
0.010 0.505 0.250
0.495 0.505 0.250
0.495 0.990 0.250
0.505 0.010 0.750
0.505 0.495 0.750
0.990 0.495 0.750
0.000 0.000 0.000
0.000 0.000 0.500
0.166 0.333 0.619
0.166 0.333 0.881
0.166 0.834 0.619
0.166 0.834 0.881
0.333 0.166 0.119
0.333 0.166 0.381
0.333 0.667 0.117
0.333 0.667 0.383
0.667 0.333 0.617
0.667 0.333 0.883
0.667 0.834 0.619
0.667 0.834 0.881
0.834 0.166 0.119
0.834 0.166 0.381
0.834 0.667 0.119
0.834 0.667 0.381
```

Results
Crystal system   hexagonal
Space group   P6_3/mmc (194)
Uncorrected formation energy   -1.230 eV per atom

=====

Density functional theory data (GGA-PBEsol) for a relaxed structure of TlSiRu2.

```
TlSiRu2
1.0
2.948 0.000 0.000
0.000 4.373 0.000
-1.456 0.000 4.920
Tl Si Ru
1 1 2
Direct
0.000 0.000 0.000
0.345 0.500 0.688
0.264 0.000 0.525
0.648 0.500 0.290
```

Results
Crystal system   monoclinic
Space group   Pm (6)
Uncorrected formation energy   0.300 eV per atom
Energy above the lowest structure with this stoichiometry   273 meV per atom

=====

Density functional theory data (GGA-PBEsol) for a relaxed structure of FeCuRh2.

```
FeCuRh2
1.0
4.460 0.000 0.000
0.000 2.645 0.000
-1.620 0.000 4.296
Fe Cu Rh
1 1 2
Direct
0.000 0.000 0.000
0.000 0.500 0.500
0.500 0.000 0.500
0.500 0.500 0.000
```

Results
Crystal system   monoclinic
Space group   P2/m (10)
Calculated formation energy   0.07 eV per atom

=====

Density functional theory data (GGA-PBEsol) for a relaxed structure of ZrC.

```
ZrC
1.0
0.000 2.524 2.524
2.524 0.000 2.524
2.524 2.524 0.000
Zr C
1 1
Direct
0.000 0.000 0.000
0.250 0.250 0.250
```

Results
Crystal system   cubic
Space group   F-43m (216)
Calculated formation energy   -0.21 eV per atom
Energy above the lowest structure with this stoichiometry   706 meV per atom

=====

Density functional theory data (GGA-PBEsol) for a relaxed structure of K2Y.

```
K2Y
1.0
8.022 -1.860 0.000
8.022 1.860 0.000
-2.828 0.000 9.783
K Y
4 2
Direct
0.000 0.000 0.000
0.058 0.058 0.628
0.322 0.322 0.667
0.660 0.660 0.318
0.376 0.376 0.260
0.753 0.753 0.001
```

Results
Crystal system   monoclinic
Space group   Cm (8)
Calculated formation energy   0.44 eV per atom

=====

Density functional theory data (GGA-PBEsol) for a relaxed structure of KCd2Sb.

```
KCd2Sb
1.0
3.288 0.000 0.000
0.000 5.296 0.000
0.000 0.000 6.128
K Cd Sb
1 2 1
Direct
0.000 0.000 0.000
0.500 0.500 0.248
0.500 0.500 0.752
0.500 0.000 0.500
```

Results
Crystal system   orthorhombic
Space group   Pmmm (47)
Uncorrected formation energy   -0.084 eV per atom

=====

Density functional theory data (GGA-PBEsol) for a relaxed structure of Fe3Co.

```
Fe3Co
1.0
2.424 0.000 0.000
-1.212 2.099 0.000
0.000 0.000 7.684
Fe Co
3 1
Direct
0.000 0.000 0.000
0.667 0.333 0.246
0.667 0.333 0.754
0.000 0.000 0.500
```

Results
Crystal system   hexagonal
Space group   P-6m2 (187)
Calculated formation energy   0.04 eV per atom

=====

Density functional theory data (GGA-PBEsol) for a relaxed structure of MoIrPt2.

```
MoIrPt2
1.0
3.323 0.000 0.000
0.000 3.323 0.000
0.000 0.000 5.459
Mo Ir Pt
1 1 2
Direct
0.000 0.000 0.000
0.500 0.500 0.772
0.000 0.000 0.518
0.500 0.500 0.265
```

Results
Crystal system   tetragonal
Space group   P4mm (99)
Calculated formation energy   -0.03 eV per atom
Energy above the lowest structure with this stoichiometry   225 meV per atom

=====

Density functional theory data (GGA-PBEsol) for a relaxed structure of Ba2HgBr.

```
Ba2HgBr
1.0
4.745 0.000 0.000
0.000 4.745 0.000
0.000 0.000 6.842
Ba Hg Br
2 1 1
Direct
0.000 0.000 0.000
0.500 0.500 0.500
0.000 0.000 0.500
0.500 0.500 0.000
```

Results
Crystal system   tetragonal
Space group   P4/mmm (123)
Uncorrected formation energy   -1.039 eV per atom
Energy above the lowest structure with this stoichiometry   0 meV per atom

=====

Density functional theory data (GGA-PBEsol) for a relaxed structure of AlIr2I.

```
AlIr2I
1.0
0.000 3.206 3.206
3.206 0.000 3.206
3.206 3.206 0.000
Al Ir I
1 2 1
Direct
0.000 0.000 0.000
0.250 0.250 0.250
0.750 0.750 0.750
0.500 0.500 0.500
```

Results
Crystal system   cubic
Space group   Fm-3m (225)
Uncorrected formation energy   0.565 eV per atom

=====

Density functional theory data (GGA-PBEsol) for a relaxed structure of LiBe2Fe.

```
LiBe2Fe
1.0
-1.658 1.658 3.303
1.658 -1.658 3.303
1.658 1.658 -3.303
Li Be Fe
1 2 1
Direct
0.000 0.000 0.000
0.500 0.500 0.000
0.750 0.250 0.500
0.250 0.750 0.500
```

Results
Crystal system   tetragonal
Space group   I-4m2 (119)
Calculated formation energy   0.23 eV per atom

=====

Density functional theory data (GGA-PBEsol) for a relaxed structure of SmBi3Ru4O14.

```
SmBi3Ru4O14
1.0
3.610 2.085 5.939
-3.610 2.085 5.939
0.000 -4.169 5.939
Sm Bi Ru O
1 3 4 14
Direct
0.000 0.000 0.000
0.000 0.000 0.500
0.000 0.500 0.000
0.500 0.000 0.000
0.000 0.500 0.500
0.500 0.000 0.500
0.500 0.500 0.000
0.500 0.500 0.500
0.123 0.123 0.123
0.171 0.171 0.575
0.171 0.575 0.171
0.173 0.578 0.578
0.422 0.422 0.827
0.422 0.827 0.422
0.425 0.829 0.829
0.575 0.171 0.171
0.578 0.173 0.578
0.578 0.578 0.173
0.827 0.422 0.422
0.829 0.425 0.829
0.829 0.829 0.425
0.877 0.877 0.877
```

Results
Crystal system   trigonal
Space group   R-3m (166)
Uncorrected formation energy   -1.421 eV per atom

=====

Density functional theory data (GGA-PBEsol) for a relaxed structure of FeIrNF2.

```
FeIrNF2
1.0
4.327 0.000 0.000
0.000 4.327 0.000
0.000 0.000 3.663
Fe Ir N F
1 1 1 2
Direct
0.000 0.000 0.000
0.500 0.500 0.500
0.500 0.500 0.000
0.000 0.500 0.500
0.500 0.000 0.500
```

Results
Crystal system   tetragonal
Space group   P4/mmm (123)
Uncorrected formation energy   0.230 eV per atom

=====

Density functional theory data (GGA-PBEsol) for a relaxed structure of Rb2SbCl6.

```
Rb2SbCl6
1.0
0.000 5.050 5.050
5.050 0.000 5.050
5.050 5.050 0.000
Rb Sb Cl
2 1 6
Direct
0.250 0.250 0.250
0.750 0.750 0.750
0.000 0.000 0.000
0.249 0.249 0.751
0.249 0.751 0.249
0.249 0.751 0.751
0.751 0.249 0.249
0.751 0.249 0.751
0.751 0.751 0.249
```

Results
Crystal system   cubic
Space group   Fm-3m (225)
Uncorrected formation energy   -1.343 eV per atom

=====

Density functional theory data (GGA-PBEsol) for a relaxed structure of ZrI3O.

```
ZrI3O
1.0
5.606 0.000 0.000
0.000 5.606 0.000
0.000 0.000 5.606
Zr I O
1 3 1
Direct
0.000 0.000 0.000
0.000 0.000 0.500
0.000 0.500 0.000
0.500 0.000 0.000
0.500 0.500 0.500
```

Results
Crystal system   cubic
Space group   Pm-3m (221)
Uncorrected formation energy   0.044 eV per atom

=====

Density functional theory data (GGA-PBEsol) for a relaxed structure of CuP2IrO.

```
CuP2IrO
1.0
4.533 0.000 0.000
0.000 4.533 0.000
0.000 0.000 3.326
Cu P Ir O
1 2 1 1
Direct
0.000 0.000 0.000
0.000 0.500 0.000
0.500 0.000 0.000
0.500 0.500 0.500
0.000 0.000 0.500
```

Results
Crystal system   tetragonal
Space group   P4/mmm (123)
Uncorrected formation energy   0.693 eV per atom

=====

Density functional theory data (GGA-PBEsol) for a relaxed structure of Sn2MoPN.

```
Sn2MoPN
1.0
5.138 0.000 0.000
0.000 5.138 0.000
0.000 0.000 4.436
Sn Mo P N
2 1 1 1
Direct
0.000 0.500 0.000
0.500 0.000 0.000
0.000 0.000 0.500
0.000 0.000 0.000
0.500 0.500 0.500
```

Results
Crystal system   tetragonal
Space group   P4/mmm (123)
Uncorrected formation energy   1.724 eV per atom

=====

Density functional theory data (GGA-PBEsol) for a relaxed structure of BaSbPb2.

```
BaSbPb2
1.0
5.549 -2.203 0.000
5.549 2.203 0.000
-1.870 0.000 5.437
Ba Sb Pb
1 1 2
Direct
0.000 0.000 0.000
0.241 0.241 0.673
0.511 0.511 0.517
0.765 0.765 0.315
```

Results
Crystal system   monoclinic
Space group   Cm (8)
Uncorrected formation energy   -0.435 eV per atom

=====

Density functional theory data (GGA-PBEsol) for a relaxed structure of LaCr2Mo.

```
LaCr2Mo
1.0
3.075 0.000 0.000
0.000 3.075 0.000
0.000 0.000 7.327
La Cr Mo
1 2 1
Direct
0.000 0.000 0.000
0.500 0.500 0.313
0.500 0.500 0.687
0.000 0.000 0.500
```

Results
Crystal system   tetragonal
Space group   P4/mmm (123)
Calculated formation energy   0.49 eV per atom
Energy above the lowest structure with this stoichiometry   0 meV per atom

=====

Density functional theory data (GGA-PBEsol) for a relaxed structure of La2CuRu.

```
La2CuRu
1.0
4.314 0.000 0.000
0.000 1.991 5.290
0.000 -1.991 5.290
La Cu Ru
2 1 1
Direct
0.000 0.000 0.000
0.500 0.278 0.278
0.500 0.571 0.571
0.000 0.724 0.724
```

Results
Crystal system   orthorhombic
Space group   Amm2 (38)
Calculated formation energy   -0.15 eV per atom

=====

Density functional theory data (GGA-PBEsol) for a relaxed structure of SrMo4Pt.

```
SrMo4Pt
1.0
0.000 3.763 3.763
3.763 0.000 3.763
3.763 3.763 0.000
Sr Mo Pt
1 4 1
Direct
0.000 0.000 0.000
0.374 0.374 0.374
0.374 0.374 0.879
0.374 0.879 0.374
0.879 0.374 0.374
0.750 0.750 0.750
```

Results
Crystal system   cubic
Space group   F-43m (216)
Calculated formation energy   0.59 eV per atom

=====

Density functional theory data (GGA-PBEsol) for a relaxed structure of TaOsC2.

```
TaOsC2
1.0
-2.302 2.302 4.844
2.302 -2.302 4.844
2.302 2.302 -4.844
Ta Os C
2 2 4
Direct
0.000 0.000 0.000
0.750 0.250 0.500
0.250 0.750 0.500
0.500 0.500 0.000
0.149 0.625 0.024
0.375 0.399 0.524
0.601 0.125 0.976
0.875 0.851 0.476
```

Results
Crystal system   tetragonal
Space group   I-42d (122)
Calculated formation energy   0.43 eV per atom

=====

Density functional theory data (GGA-PBEsol) for a relaxed structure of HgRuSe2N.

```
HgRuSe2N
1.0
5.212 0.000 0.000
0.000 5.212 0.000
0.000 0.000 3.933
Hg Ru Se N
1 1 2 1
Direct
0.000 0.000 0.000
0.500 0.500 0.500
0.000 0.500 0.000
0.500 0.000 0.000
0.000 0.000 0.500
```

Results
Crystal system   tetragonal
Space group   P4/mmm (123)
Uncorrected formation energy   1.886 eV per atom